(1)
Below is crystalline Hf2ScCr at its relaxed geometry, with properties calculated at the GGA-PBEsol level.

a = 4.706 Å, b = 4.706 Å, c = 4.706 Å
α = 60.00°, β = 60.00°, γ = 60.00°
Element x y z (fractional)
Hf 0.250 0.250 0.250
Hf 0.750 0.750 0.750
Sc 0.000 0.000 0.000
Cr 0.500 0.500 0.500

- Total magnetization: 0.50 μB per formula unit
- Formation enthalpy at 0 K: 283 meV/atom
- E_tot: -0.675 Ry/atom


(2)
Below is crystalline InPt2Au at its relaxed geometry, with properties calculated at the GGA-PBEsol level.

a = 2.969 Å, b = 3.817 Å, c = 5.814 Å
α = 90.00°, β = 90.00°, γ = 90.00°
Element x y z (fractional)
In 0.000 0.000 0.000
Pt 0.500 0.500 0.249
Pt 0.500 0.500 0.751
Au 0.000 0.000 0.500

- Total magnetization: 0.00 μB per formula unit
- Formation enthalpy at 0 K: -257 meV/atom
- E_tot: -0.402 Ry/atom


(3)
Below is crystalline TePd at its relaxed geometry, with properties calculated at the GGA-PBEsol level.

a = 4.155 Å, b = 4.155 Å, c = 5.607 Å
α = 90.00°, β = 90.00°, γ = 120.00°
Element x y z (fractional)
Te 0.333 0.667 0.250
Te 0.667 0.333 0.750
Pd 0.000 0.000 0.000
Pd 0.000 0.000 0.500

- Total magnetization: 0.00 μB per formula unit
- Formation energy without anion corrections: -0.384 eV/atom
- E_tot: -0.377 Ry/atom


(4)
Below is crystalline NbAlTe2N at its relaxed geometry, with properties calculated at the GGA-PBEsol level.

a = 5.400 Å, b = 5.400 Å, c = 3.452 Å
α = 90.00°, β = 90.00°, γ = 90.00°
Element x y z (fractional)
Nb 0.000 0.000 0.000
Al 0.500 0.500 0.500
Te 0.000 0.500 0.500
Te 0.500 0.000 0.500
N 0.500 0.500 0.000

- Total magnetization: 1.71 μB per formula unit
- Formation energy without anion corrections: 0.454 eV/atom
- E_tot: -0.415 Ry/atom


(5)
Below is crystalline ZnGaAsSe at its relaxed geometry, with properties calculated at the GGA-PBEsol level.

a = 6.938 Å, b = 6.938 Å, c = 6.938 Å
α = 33.42°, β = 33.42°, γ = 33.42°
Element x y z (fractional)
Zn 0.000 0.000 0.000
Ga 0.497 0.497 0.497
As 0.123 0.123 0.123
Se 0.622 0.622 0.622

- Total magnetization: 0.00 μB per formula unit
- Formation energy without anion corrections: -0.476 eV/atom
- E_tot: -0.290 Ry/atom


(6)
Below is crystalline Fe2ReNi at its relaxed geometry, with properties calculated at the GGA-PBEsol level.

a = 4.385 Å, b = 4.385 Å, c = 4.395 Å
α = 99.52°, β = 99.52°, γ = 33.93°
Element x y z (fractional)
Fe 0.000 0.000 0.000
Fe 0.747 0.747 0.248
Re 0.246 0.246 0.747
Ni 0.495 0.495 0.490

- Total magnetization: 3.70 μB per formula unit
- Formation enthalpy at 0 K: 77 meV/atom
- E_tot: -0.682 Ry/atom


(7)
Below is crystalline ScAl2Co at its relaxed geometry, with properties calculated at the GGA-PBEsol level.

a = 2.905 Å, b = 2.905 Å, c = 7.042 Å
α = 90.00°, β = 90.00°, γ = 90.00°
Element x y z (fractional)
Sc 0.000 0.000 0.000
Al 0.500 0.500 0.305
Al 0.500 0.500 0.695
Co 0.000 0.000 0.500

- Total magnetization: 0.86 μB per formula unit
- Formation enthalpy at 0 K: -478 meV/atom
- E_tot: -0.449 Ry/atom


(8)
Below is crystalline MgTaSbI2 at its relaxed geometry, with properties calculated at the GGA-PBEsol level.

a = 5.290 Å, b = 5.290 Å, c = 5.478 Å
α = 90.00°, β = 90.00°, γ = 90.00°
Element x y z (fractional)
Mg 0.000 0.000 0.000
Ta 0.500 0.500 0.500
Sb 0.000 0.000 0.500
I 0.000 0.500 0.000
I 0.500 0.000 0.000

- Total magnetization: 2.31 μB per formula unit
- Formation energy without anion corrections: 1.063 eV/atom
- E_tot: -0.251 Ry/atom